Record 1
TbAlZn2Ga GGA-PBE optimized geometry; formation energy = -0.15 eV per atom; E = -29.38 eV per cell; total magnetic moment = 0.00 μB/f.u.
1.0
4.175 0.000 0.000
-2.087 5.690 0.000
0.000 0.000 8.608
Tb Al Zn Ga
2 2 4 2
Direct
0.801 0.603 0.750
0.199 0.397 0.250
0.515 0.029 0.750
0.485 0.971 0.250
0.352 0.703 0.984
0.648 0.297 0.016
0.352 0.703 0.516
0.648 0.297 0.484
0.000 0.000 0.000
0.000 0.000 0.500


Record 2
NbMoSe GGA-PBE optimized geometry; E = -49.54 eV per cell; formation energy from raw total energies = -0.13 eV per atom; polymorph energy (0 for the lowest one) = 184 meV per atom; total magnetic moment = 0.00 μB/f.u.
1.0
-1.850 -2.058 -1.683
3.454 1.750 -3.018
3.506 -5.461 2.865
Nb Mo Se
2 2 2
Direct
0.949 0.555 0.822
0.738 0.096 0.211
0.500 0.567 0.494
0.183 0.061 0.558
0.031 0.665 0.218
0.255 0.143 0.913


Record 3
Sc3Cu GGA-PBE optimized geometry; formation energy = 0.03 eV per atom; E = -45.96 eV per cell; polymorph energy (0 for the lowest one) = 164 meV per atom; total magnetic moment = 0.09 μB/f.u.
1.0
-3.077 -1.287 -0.996
1.954 -0.161 -5.830
1.860 -7.601 4.079
Sc Cu
6 2
Direct
0.250 0.836 0.161
0.750 0.164 0.839
0.750 0.221 0.441
0.250 0.779 0.559
0.750 0.675 0.839
0.250 0.325 0.161
0.250 0.345 0.689
0.750 0.655 0.311


Record 4
TlFeOs3 GGA-PBE optimized geometry; formation energy = 1.77 eV per atom; E = -35.67 eV per cell; total magnetic moment = 0.00 μB/f.u.
1.0
4.482 0.000 0.000
0.000 4.482 0.000
0.000 0.000 4.482
Tl Os Fe
1 3 1
Direct
0.500 0.500 0.500
0.000 0.500 0.000
0.000 0.000 0.500
0.500 0.000 0.000
0.000 0.000 0.000


- Look up the total magnetic moment of the third one.
  0.09 μB/f.u.


- What is the E in the fourth record?
  -35.67 eV per cell


Copy entry 2 word for word.
NbMoSe GGA-PBE optimized geometry; E = -49.54 eV per cell; formation energy from raw total energies = -0.13 eV per atom; polymorph energy (0 for the lowest one) = 184 meV per atom; total magnetic moment = 0.00 μB/f.u.
1.0
-1.850 -2.058 -1.683
3.454 1.750 -3.018
3.506 -5.461 2.865
Nb Mo Se
2 2 2
Direct
0.949 0.555 0.822
0.738 0.096 0.211
0.500 0.567 0.494
0.183 0.061 0.558
0.031 0.665 0.218
0.255 0.143 0.913


- Which of these has the highest E?
  TbAlZn2Ga